(1)
Sr2Li9In6: optimized geometry, PBE.

Structure (POSCAR):
```
Sr2Li9In6
1.0
-5.0391 0.1835 -3.0354
5.0941 -0.9054 -2.8055
-1.5833 -14.3630 1.7604
Sr Li In
2 9 6
direct
0.0000 0.0000 0.6600
0.0000 0.0000 0.3400
0.5000 0.0000 0.8351
0.0000 0.5000 0.8351
0.5000 0.5000 0.8351
0.5000 0.0000 0.1649
0.0000 0.5000 0.1649
0.5000 0.5000 0.1649
0.5000 0.0000 0.5000
0.0000 0.5000 0.5000
0.5000 0.5000 0.5000
0.3333 0.6667 0.0000
0.6667 0.3333 0.0000
0.3333 0.6667 0.6676
0.6667 0.3333 0.6676
0.6667 0.3333 0.3324
0.3333 0.6667 0.3324
```

Calculated values
* DFT formation energy: -182.3 meV per atom
* total energy: -40.1 eV per formula unit
* space group: No. 191

***

(2)
SrLi2In: optimized geometry, PBE.

Structure (POSCAR):
```
SrLi2In
1.0
5.7709 -0.0484 -0.0004
1.6088 5.5423 0.0004
-3.2318 -3.3623 3.3994
In Li Sr
1 2 1
direct
0.2213 0.7213 0.5000
0.9953 0.9953 0.0000
0.7829 0.2829 0.5000
0.5005 0.5005 0.0000
```

Calculated values
* DFT formation energy: -166.7 meV per atom
* total energy: -8.9 eV per formula unit
* space group: No. 44